(1)
Compound: Ni10Sb
Source: the Open Quantum Materials Database
Functional: PBE
Structure: relaxed

Summary:
VASP energy (eV/atom): -5.451
Symmetry: C2/m (12)
Total magnetic moment (μB per cell): 9.96

a = 4.2737 Å, b = 4.2737 Å, c = 24.5000 Å
α = 90.27°, β = 90.27°, γ = 48.56°
Fractional positions:
1 Ni 0.8512 0.8512 0.1945
2 Ni 0.5481 0.5481 0.2274
3 Ni 0.2497 0.2497 0.2603
4 Ni 0.9484 0.9484 0.2921
5 Ni 0.6494 0.6494 0.3240
6 Ni 0.3500 0.3500 0.3564
7 Ni 0.0500 0.0500 0.3880
8 Ni 0.7503 0.7503 0.4200
9 Ni 0.4503 0.4503 0.4522
10 Ni 0.1501 0.1501 0.4840
11 Ni 0.8499 0.8499 0.5160
12 Ni 0.5497 0.5497 0.5478
13 Ni 0.2497 0.2497 0.5800
14 Ni 0.9500 0.9500 0.6120
15 Ni 0.6500 0.6500 0.6436
16 Ni 0.3506 0.3506 0.6760
17 Ni 0.0516 0.0516 0.7079
18 Ni 0.7503 0.7503 0.7397
19 Ni 0.4519 0.4519 0.7726
20 Ni 0.1488 0.1488 0.8055
21 Sb 0.1520 0.1520 0.1538
22 Sb 0.8480 0.8480 0.8462

(2)
Compound: NpBPd
Source: the Open Quantum Materials Database
Functional: PBE
Structure: relaxed

Summary:
Symmetry: F-43m (216)
Energy relative to the lowest polymorph listed for this composition (eV per atom): 0.489
Total magnetic moment (μB per cell): 3.59

a = 4.3342 Å, b = 4.3342 Å, c = 4.3342 Å
α = 60.00°, β = 60.00°, γ = 60.00°
Fractional positions:
1 B 0.2500 0.2500 0.2500
2 Np 0.7500 0.7500 0.7500
3 Pd 0.0000 0.0000 0.0000

(3)
Compound: MgZnSO
Source: the Open Quantum Materials Database
Functional: PBE
Structure: relaxed

Summary:
Symmetry: P4/nmm (129)
Energy relative to the lowest polymorph listed for this composition (eV per atom): 1.107

a = 4.5837 Å, b = 4.5837 Å, c = 6.7455 Å
α = 90.00°, β = 90.00°, γ = 90.00°
Fractional positions:
1 Mg 0.7500 0.2500 0.0000
2 Mg 0.2500 0.7500 0.0000
3 O 0.2500 0.2500 0.3962
4 O 0.7500 0.7500 0.6038
5 S 0.2500 0.2500 0.1563
6 S 0.7500 0.7500 0.8437
7 Zn 0.7500 0.7500 0.3192
8 Zn 0.2500 0.2500 0.6808

(4)
Compound: DyY2Co3Ni6
Source: the Open Quantum Materials Database
Functional: PBE
Structure: relaxed

Summary:
Symmetry: R-3m (166)
Energy of formation from the pure elements (meV/atom): -294
Total magnetic moment (μB per cell): 4.47

a = 8.6311 Å, b = 8.6311 Å, c = 8.6311 Å
α = 33.27°, β = 33.27°, γ = 33.27°
Fractional positions:
1 Co 0.3330 0.3330 0.3330
2 Co 0.5000 0.5000 0.5000
3 Co 0.6670 0.6670 0.6670
4 Dy 0.0000 0.0000 0.0000
5 Ni 0.5805 0.5805 0.0830
6 Ni 0.9170 0.4195 0.4195
7 Ni 0.4195 0.9170 0.4195
8 Ni 0.5805 0.0830 0.5805
9 Ni 0.0830 0.5805 0.5805
10 Ni 0.4195 0.4195 0.9170
11 Y 0.1392 0.1392 0.1392
12 Y 0.8608 0.8608 0.8608

(5)
Compound: PmUTe
Source: the Open Quantum Materials Database
Functional: PBE
Structure: relaxed

Summary:
Symmetry: F-43m (216)
Energy relative to the lowest polymorph listed for this composition (eV per atom): 0.000
Total magnetic moment (μB per cell): 4.48

a = 5.1552 Å, b = 5.1552 Å, c = 5.1552 Å
α = 60.00°, β = 60.00°, γ = 60.00°
Fractional positions:
1 Pm 0.2500 0.2500 0.2500
2 Te 0.0000 0.0000 0.0000
3 U 0.7500 0.7500 0.7500

(6)
Compound: Cd2C
Source: the Open Quantum Materials Database
Functional: PBE
Structure: relaxed

Summary:
Symmetry: C2/m (12)
Energy relative to the lowest polymorph listed for this composition (eV per atom): 0.223

a = 4.1491 Å, b = 4.1491 Å, c = 4.1849 Å
α = 120.11°, β = 120.11°, γ = 59.60°
Fractional positions:
1 C 0.0000 0.0000 0.0000
2 Cd 0.7505 0.7505 0.2503
3 Cd 0.2495 0.2495 0.7498

(7)
Compound: Dy2YGe4Pd4
Source: the Open Quantum Materials Database
Functional: PBE
Structure: relaxed

Summary:
VASP energy (eV/atom): -5.901
Symmetry: Immm (71)
Total magnetic moment (μB per cell): 0.00

a = 8.1399 Å, b = 8.1399 Å, c = 8.1399 Å
α = 150.20°, β = 128.15°, γ = 60.96°
Fractional positions:
1 Dy 0.6261 0.1261 0.5000
2 Dy 0.3739 0.8739 0.5000
3 Ge 0.2181 0.2181 0.0000
4 Ge 0.7819 0.7819 0.0000
5 Ge 0.6874 0.5000 0.1874
6 Ge 0.3126 0.5000 0.8126
7 Pd 0.6234 0.3244 0.2990
8 Pd 0.9746 0.6756 0.2990
9 Pd 0.0254 0.3244 0.7010
10 Pd 0.3766 0.6756 0.7010
11 Y 0.0000 0.0000 0.0000

(8)
Compound: CsMgNiSe3
Source: the Open Quantum Materials Database
Functional: PBE
Structure: relaxed

Summary:
Symmetry: Cmcm (63)
Energy relative to the lowest polymorph listed for this composition (eV per atom): 0.080
Total magnetic moment (μB per cell): 0.03

a = 8.1944 Å, b = 8.1944 Å, c = 10.5046 Å
α = 90.00°, β = 90.00°, γ = 152.44°
Fractional positions:
1 Cs 0.2492 0.7508 0.2500
2 Cs 0.7508 0.2492 0.7500
3 Mg 0.9703 0.0297 0.2500
4 Mg 0.0297 0.9703 0.7500
5 Ni 0.5000 0.5000 0.0000
6 Ni 0.5000 0.5000 0.5000
7 Se 0.9026 0.0974 0.0300
8 Se 0.5653 0.4347 0.2500
9 Se 0.9026 0.0974 0.4700
10 Se 0.0974 0.9026 0.5300
11 Se 0.4347 0.5653 0.7500
12 Se 0.0974 0.9026 0.9700